A plane-wave DFT calculation with PBE-GGA was carried out for an optimized crystal structure of LiUPa2S4.

Cell lengths 6.692, 3.810, 6.701 Å; angles 90.00, 109.03, 90.00 degrees
Fractional positions:
Li 0.000 0.000 0.000
U 0.000 0.500 0.500
Pa 0.500 0.000 0.500
Pa 0.500 0.500 0.000
S 0.236 0.500 0.236
S 0.240 0.000 0.756
S 0.760 0.000 0.244
S 0.764 0.500 0.764

Properties
The total magnetization is 2.850 μB per formula unit. The value obtained for the formation energy from raw total energies is -1.482 eV/atom. Its space group is P2/m. For the density of states at the Fermi level, the calculation gives 1.257 states/eV/atom.

***

A plane-wave DFT calculation with PBE-GGA was carried out for an optimized crystal structure of YCr2Se.

Cell lengths 4.854, 4.854, 4.854 Å; angles 60.00, 60.00, 60.00 degrees
Fractional positions:
Y 0.000 0.000 0.000
Cr 0.250 0.250 0.250
Cr 0.500 0.500 0.500
Se 0.750 0.750 0.750

Properties
The total magnetization is 0.106 μB per formula unit. The value obtained for the formation energy from raw total energies is 0.167 eV/atom. Its space group is F-43m. For the density of states at the Fermi level, the calculation gives 0.953 states/eV/atom.

***

A plane-wave DFT calculation with PBE-GGA was carried out for an optimized crystal structure of AcLa2Hg3.

Cell lengths 8.833, 8.833, 7.947 Å; angles 90.00, 90.00, 143.19 degrees
Fractional positions:
Ac 0.166 0.834 0.000
Ac 0.834 0.166 0.000
La 0.167 0.833 0.500
La 0.500 0.500 0.000
La 0.500 0.500 0.500
La 0.833 0.167 0.500
Hg 0.000 0.000 0.258
Hg 0.000 0.000 0.742
Hg 0.336 0.664 0.259
Hg 0.336 0.664 0.741
Hg 0.664 0.336 0.259
Hg 0.664 0.336 0.741

Properties
The total magnetization is 1.033 μB per formula unit. Its space group is Cmmm. For the density of states at the Fermi level, the calculation gives 1.156 states/eV/atom. The calculation puts the formation energy at -0.49 eV/atom.

***

Number 1: energy -60.56 eV/cell. Number 2: energy -28.53 eV/cell. Number 3: energy -35.62 eV/cell.